{
  "formula": "FePbF2",
  "functional": "PBE+U",
  "state": "relaxed",
  "space_group": "Fm-3m (225)",
  "final_energy_ev_per_cell": -17.1,
  "de_polymorph_ev_per_atom": 0.420,
  "m_tot_mub_per_cell": 3.79,
  "lattice": [[0.000, 3.170, 3.170], [3.170, 0.000, 3.170], [3.170, 3.170, 0.000]],
  "species": ["Fe", "Pb", "F", "F"],
  "fractional_positions": [[0.000, 0.000, 0.000], [0.500, 0.500, 0.500], [0.250, 0.250, 0.250], [0.750, 0.750, 0.750]]
}